# 1
This record from the Alexandria database describes a geometry-optimized LaMn2Tc structure. The functional is PBE.

Cell: 3.279 4.744 9.958 Å, 90.00 90.00 90.00°
Space group Immm (No. 71)
One atom of each set of equivalent atoms:
La 0.000 0.000 0.000 [2 per cell]
Mn 0.000 0.500 0.218 [4 per cell]
Tc 0.000 0.000 0.500 [2 per cell]

Calculated values
For the total energy, the calculation gives -7.90 eV/atom. As for the formation energy: 503 meV per atom.



# 2
This record from the Alexandria database describes a geometry-optimized Cd4CoOs structure. The functional is PBE.

Cell: 7.681 7.681 7.681 Å, 90.00 90.00 90.00°
Space group F-43m (No. 216)
One atom of each set of equivalent atoms:
Cd 0.125 0.125 0.125 [16 per cell]
Co 0.250 0.250 0.750 [4 per cell]
Os 0.000 0.000 0.500 [4 per cell]

Calculated values
For the total energy, the calculation gives -2.78 eV/atom. As for the formation energy: 890 meV per atom.



# 3
This record from the Alexandria database describes a geometry-optimized AcMgGeRh structure. The functional is PBE.

Cell: 7.149 7.149 7.149 Å, 90.00 90.00 90.00°
Space group F-43m (No. 216)
One atom of each set of equivalent atoms:
Ac 0.000 0.000 0.000 [4 per cell]
Mg 0.000 0.000 0.500 [4 per cell]
Ge 0.250 0.250 0.750 [4 per cell]
Rh 0.250 0.250 0.250 [4 per cell]

Calculated values
For the total energy, the calculation gives -4.74 eV/atom. As for the formation energy: -324 meV per atom.



# 4
This record from the Alexandria database describes a geometry-optimized Co2Tc2Ag structure. The functional is PBE.

Cell: 7.214 7.214 2.628 Å, 90.00 90.00 90.00°
Space group P4/mbm (No. 127)
One atom of each set of equivalent atoms:
Co 0.119 0.381 0.000 [4 per cell]
Tc 0.171 0.671 0.500 [4 per cell]
Ag 0.000 0.000 0.000 [2 per cell]

Calculated values
For the total energy, the calculation gives -7.29 eV/atom. As for the formation energy: 269 meV per atom.



# 5
This record from the Alexandria database describes a geometry-optimized Mg2ScSe structure. The functional is PBE.

Cell: 3.667 3.668 6.848 Å, 90.00 104.93 90.00°
Space group Pm (No. 6)
One atom of each set of equivalent atoms:
Mg 0.000 0.000 0.000 [1 per cell]
Mg 0.384 0.500 0.759 [1 per cell]
Sc 0.640 0.500 0.290 [1 per cell]
Se 0.206 0.000 0.422 [1 per cell]

Calculated values
For the total energy, the calculation gives -3.85 eV/atom.



# 6
This record from the Alexandria database describes a geometry-optimized CePa2S6 structure. The functional is PBE.

Cell: 13.607 5.156 8.986 Å, 90.00 125.81 90.00°
Space group C2/m (No. 12)
One atom of each set of equivalent atoms:
Ce 0.000 0.000 0.000 [2 per cell]
Pa 0.183 0.000 0.608 [4 per cell]
S 0.035 0.000 0.714 [4 per cell]
S 0.133 0.500 0.061 [4 per cell]
S 0.242 0.500 0.622 [4 per cell]

Calculated values
For the total energy, the calculation gives -7.14 eV/atom.



# 7
This record from the Alexandria database describes a geometry-optimized KZnFe structure. The functional is PBE.

Cell: 2.788 4.079 12.087 Å, 90.00 90.00 90.00°
Space group Imm2 (No. 44)
One atom of each set of equivalent atoms:
K 0.000 0.000 0.000 [2 per cell]
Zn 0.000 0.000 0.725 [2 per cell]
Fe 0.000 0.000 0.271 [2 per cell]

Calculated values
For the total energy, the calculation gives -3.07 eV/atom. As for the formation energy: 541 meV per atom.



# 8
This record from the Alexandria database describes a geometry-optimized Ba3Sr2Li4Tl2 structure. The functional is PBE.

Cell: 5.5759 5.5759 15.5722 Å, 90.00 90.00 120.00°
Space group P-3m1 (No. 164)
One atom of each set of equivalent atoms:
Ba 0.0000 0.0000 0.0000 [1 per cell]
Ba 0.0000 0.0000 0.2447 [2 per cell]
Sr 0.3333 0.6667 0.5776 [2 per cell]
Li 0.3333 0.6667 0.3283 [2 per cell]
Li 0.3333 0.6667 0.8650 [2 per cell]
Tl 0.3333 0.6667 0.1369 [2 per cell]

Calculated values
For the total energy, the calculation gives -2.03 eV/atom. As for the formation energy: -70 meV per atom.



# 9
This record from the Alexandria database describes a geometry-optimized Si3C structure. The functional is PBE.

Cell: 5.0555 5.0555 4.4588 Å, 90.00 90.00 120.00°
Space group P6_3/mmc (No. 194)
One atom of each set of equivalent atoms:
Si 0.1697 0.3394 0.2500 [6 per cell]
C 0.3333 0.6667 0.7500 [2 per cell]

Calculated values
For the total energy, the calculation gives -4.98 eV/atom.



# 10
This record from the Alexandria database describes a geometry-optimized LiErGe structure. The functional is PBE.

Cell: 4.3878 4.3878 3.5366 Å, 90.00 90.00 120.00°
Space group P-6m2 (No. 187)
One atom of each set of equivalent atoms:
Li 0.0000 0.0000 0.0000 [1 per cell]
Er 0.6667 0.3333 0.5000 [1 per cell]
Ge 0.3333 0.6667 0.0000 [1 per cell]

Calculated values
For the total energy, the calculation gives -4.25 eV/atom. As for the formation energy: -556 meV per atom.



# 11
This record from the Alexandria database describes a geometry-optimized LaYF2 structure. The functional is PBE.

Cell: 5.686 5.686 11.449 Å, 90.00 90.00 90.00°
Space group I-42d (No. 122)
One atom of each set of equivalent atoms:
La 0.000 0.000 0.000 [4 per cell]
Y 0.000 0.000 0.500 [4 per cell]
F 0.225 0.250 0.625 [8 per cell]

Calculated values
For the total energy, the calculation gives -6.10 eV/atom.



# 12
This record from the Alexandria database describes a geometry-optimized FeAu3 structure. The functional is PBE.

Cell: 5.192 5.192 5.192 Å, 90.00 90.00 90.00°
Space group Pm-3n (No. 223)
One atom of each set of equivalent atoms:
Fe 0.000 0.000 0.000 [2 per cell]
Au 0.000 0.250 0.500 [6 per cell]

Calculated values
For the total energy, the calculation gives -4.31 eV/atom. As for the formation energy: 263 meV per atom.